(1)
The following is a DFT calculation (GGA-PBEsol) of Ca2AlPbOF8 after structural relaxation.

a = 5.6492 Å, b = 5.6840 Å, c = 12.7598 Å
α = 97.29°, β = 90.47°, γ = 100.54°
Space group P1 (No. 1)
Symmetry-distinct sites (fractional):
Ca1 0.0000 0.0000 0.0000 (multiplicity 1)
Ca2 0.0137 0.7376 0.5451 (multiplicity 1)
Ca3 0.5392 0.0340 0.1866 (multiplicity 1)
Ca4 0.5580 0.8144 0.7289 (multiplicity 1)
Al1 0.1969 0.4026 0.2625 (multiplicity 1)
Al2 0.3633 0.3373 0.4619 (multiplicity 1)
Pb1 0.0654 0.3045 0.7176 (multiplicity 1)
Pb2 0.5089 0.5031 0.9814 (multiplicity 1)
O1 0.2655 0.4668 0.6006 (multiplicity 1)
O2 0.3968 0.2583 0.3226 (multiplicity 1)
F1 0.1445 0.5120 0.4118 (multiplicity 1)
F2 0.1798 0.1884 0.8667 (multiplicity 1)
F3 0.2435 0.9849 0.6823 (multiplicity 1)
F4 0.2522 0.2784 0.1277 (multiplicity 1)
F5 0.2600 0.6170 0.8185 (multiplicity 1)
F6 0.2649 0.0409 0.4847 (multiplicity 1)
F7 0.2931 0.6980 0.2427 (multiplicity 1)
F8 0.3069 0.8287 0.0396 (multiplicity 1)
F9 0.6404 0.5315 0.4887 (multiplicity 1)
F10 0.7271 0.2230 0.0496 (multiplicity 1)
F11 0.7454 0.7671 0.8802 (multiplicity 1)
F12 0.7483 0.2073 0.8026 (multiplicity 1)
F13 0.7676 0.7732 0.1064 (multiplicity 1)
F14 0.8078 0.0261 0.6117 (multiplicity 1)
F15 0.8351 0.5691 0.6829 (multiplicity 1)
F16 0.8990 0.2644 0.2536 (multiplicity 1)

DFT total energy = -0.419 Ry per atom


(2)
The following is a DFT calculation (GGA-PBEsol) of Ca2AlPbF9 after structural relaxation.

a = 5.3476 Å, b = 5.3508 Å, c = 12.1356 Å
α = 91.64°, β = 100.92°, γ = 91.82°
Space group P-1 (No. 2)
Symmetry-distinct sites (fractional):
Ca1 0.0412 0.2583 0.1139 (multiplicity 2)
Ca2 0.4492 0.2341 0.8862 (multiplicity 2)
Al1 0.2026 0.7079 0.3185 (multiplicity 2)
Pb1 0.2733 0.7801 0.6034 (multiplicity 2)
F1 0.0400 0.9088 0.4021 (multiplicity 2)
F2 0.0862 0.3923 0.7796 (multiplicity 2)
F3 0.1496 0.4521 0.4063 (multiplicity 2)
F4 0.2508 0.0111 0.0055 (multiplicity 2)
F5 0.2517 0.5074 0.0012 (multiplicity 2)
F6 0.2526 0.8894 0.7896 (multiplicity 2)
F7 0.2593 0.9517 0.2242 (multiplicity 2)
F8 0.3722 0.4984 0.2357 (multiplicity 2)
F9 0.4988 0.1998 0.5907 (multiplicity 2)

DFT total energy = -0.424 Ry per atom


(3)
The following is a DFT calculation (GGA-PBEsol) of CaAlFe2 after structural relaxation.

a = 2.8139 Å, b = 2.8139 Å, c = 26.5825 Å
α = 90.00°, β = 90.00°, γ = 120.00°
Space group R-3m (No. 166, hexagonal axes)
Symmetry-distinct sites (fractional):
Ca1 0.0000 0.0000 0.0000 (multiplicity 3)
Al1 0.0000 0.0000 0.5000 (multiplicity 3)
Fe1 0.0000 0.0000 0.2417 (multiplicity 6)

Energy relative to the elements = 2.11 eV/f.u.


M_tot values (in μB/f.u.) by entry order: 0.0, 0.0, 4.1.